No. 1
Material: La2PaSi
Method: DFT, PBE
State: optimized geometry

Computed properties:
Fermi-level density of states = 6.698 states/eV per cell
Total magnetization = 0.000 μB/atom
Space group = No. 123
ΔE to the lowest computed polymorph = 0 meV per atom
Energy relative to the elements, uncorrected = -0.0771 eV per atom
Calculated density = 8.6 g/cm³

Lattice parameters (Å, degrees): 4.727 4.692 4.692 90.00 90.00 90.00
Fractional positions:
Si: 0.500 0.000 0.000
Pa: 0.500 0.500 0.500
La: 0.000 0.000 0.500
La: 0.000 0.500 0.000

No. 2
Material: V2B2Os
Method: DFT, PBE
State: optimized geometry

Computed properties:
Fermi-level density of states = 15.283 states/eV per cell
Total magnetization = 0.000 μB/atom
Space group = No. 128
Calculated density = 10.2 g/cm³
Energy of formation from the pure elements = -0.617 eV per atom

Lattice parameters (Å, degrees): 5.689 5.689 6.336 90.00 90.00 90.00
Fractional positions:
V: 0.661 0.818 0.500
V: 0.339 0.182 0.500
V: 0.839 0.318 0.000
V: 0.161 0.682 0.000
V: 0.818 0.339 0.500
V: 0.182 0.661 0.500
V: 0.318 0.161 0.000
V: 0.682 0.839 0.000
B: 0.385 0.885 0.250
B: 0.615 0.115 0.250
B: 0.115 0.385 0.750
B: 0.885 0.615 0.750
B: 0.885 0.615 0.250
B: 0.115 0.385 0.250
B: 0.385 0.885 0.750
B: 0.615 0.115 0.750
Os: 0.500 0.500 0.221
Os: 0.000 0.000 0.721
Os: 0.500 0.500 0.779
Os: 0.000 0.000 0.279

Repeat the first record exactly.
Material: La2PaSi
Method: DFT, PBE
State: optimized geometry

Computed properties:
Fermi-level density of states = 6.698 states/eV per cell
Total magnetization = 0.000 μB/atom
Space group = No. 123
ΔE to the lowest computed polymorph = 0 meV per atom
Energy relative to the elements, uncorrected = -0.0771 eV per atom
Calculated density = 8.6 g/cm³

Lattice parameters (Å, degrees): 4.727 4.692 4.692 90.00 90.00 90.00
Fractional positions:
Si: 0.500 0.000 0.000
Pa: 0.500 0.500 0.500
La: 0.000 0.000 0.500
La: 0.000 0.500 0.000